Entry 1:
VASP calculation (PBE) on a relaxed structure of Fe2Ni4Pt3.

The space group is P-1 (No. 2) and the conventional cell measures 4.673, 6.624 and 8.408 Å, with angles of 112.02, 102.52 and 91.51 degrees. The distinct sites, in fractional coordinates, are Fe at (0.097, 0.056, 0.158), Fe at (0.244, 0.210, 0.503), Ni at (0.061, 0.576, 0.659), Ni at (0.095, 0.362, 0.050), Ni at (0.381, 0.386, 0.832), Ni at (0.438, 0.419, 0.341), Pt at (0.177, 0.770, 0.311), Pt at (0.330, 0.951, 0.678) and Pt at (0.412, 0.795, 0.960).

The value obtained for the total magnetization is 19.4 μB/cell. As for the calculated total energy: -58.89 eV/f.u. The energy above the lowest structure with this stoichiometry comes out at 0.000 eV per atom. The formation energy is -0.08 eV per atom.

---

Entry 2:
VASP calculation (PBE) on a relaxed structure of Y2MnMo.

The space group is R3m (No. 160, hexagonal axes) and the conventional cell measures 4.0266, 4.0266 and 20.3975 Å, with angles of 90.00, 90.00 and 120.00 degrees. The distinct sites, in fractional coordinates, are Y at (0.0000, 0.0000, 0.0000), Y at (0.0000, 0.0000, 0.1957), Mn at (0.0000, 0.0000, 0.4174) and Mo at (0.0000, 0.0000, 0.7723).

The value obtained for the total magnetization is 0.0 μB/cell. As for the calculated total energy: -32.25 eV/f.u. The energy above the lowest structure with this stoichiometry comes out at 0.000 eV per atom. The formation energy is 0.17 eV per atom.

---

Entry 3:
VASP calculation (PBE) on a relaxed structure of ScP2Br.

The space group is F-43m (No. 216) and the conventional cell measures 6.708, 6.708 and 6.708 Å, with angles of 90.00, 90.00 and 90.00 degrees. The distinct sites, in fractional coordinates, are Sc at (0.000, 0.000, 0.000), P at (0.000, 0.000, 0.500), P at (0.250, 0.250, 0.750) and Br at (0.250, 0.250, 0.250).

The value obtained for the total magnetization is 0.0 μB/cell. As for the calculated total energy: -18.64 eV/f.u. The energy above the lowest structure with this stoichiometry comes out at 0.884 eV per atom. The energy relative to the elements, uncorrected is 0.045 eV per atom.

---

Entry 4:
VASP calculation (PBE) on a relaxed structure of BeFeNi2N.

The space group is P4/mmm (No. 123) and the conventional cell measures 4.411, 4.411 and 3.360 Å, with angles of 90.00, 90.00 and 90.00 degrees. The distinct sites, in fractional coordinates, are Be at (0.000, 0.000, 0.000), Fe at (0.500, 0.500, 0.500), Ni at (0.000, 0.500, 0.500) and N at (0.500, 0.500, 0.000).

The value obtained for the total magnetization is 2.1 μB/cell. As for the calculated total energy: -27.14 eV/f.u. The energy relative to the elements, uncorrected is 0.987 eV per atom.

---

Entry 5:
VASP calculation (PBE) on a relaxed structure of Li6TlAg12.

The space group is R-3m (No. 166, hexagonal axes) and the conventional cell measures 11.9930, 11.9930 and 8.4276 Å, with angles of 90.00, 90.00 and 120.00 degrees. The distinct sites, in fractional coordinates, are Li at (0.0453, 0.5226, 0.2388), Tl at (0.0000, 0.0000, 0.0000), Ag at (0.0000, 0.3820, 0.5000) and Ag at (0.0810, 0.1620, 0.3072).

The value obtained for the total magnetization is 0.0 μB/cell. As for the calculated total energy: -47.86 eV/f.u. The formation energy is 0.01 eV per atom.

---

Entry 6:
VASP calculation (PBE) on a relaxed structure of CaAgI2N.

The space group is P4/mmm (No. 123) and the conventional cell measures 6.155, 6.155 and 4.664 Å, with angles of 90.00, 90.00 and 90.00 degrees. The distinct sites, in fractional coordinates, are Ca at (0.000, 0.000, 0.000), Ag at (0.500, 0.500, 0.500), I at (0.000, 0.500, 0.000) and N at (0.000, 0.000, 0.500).

The value obtained for the total magnetization is 2.1 μB/cell. As for the calculated total energy: -15.23 eV/f.u. The energy above the lowest structure with this stoichiometry comes out at 0.003 eV per atom. The energy relative to the elements, uncorrected is 0.211 eV per atom.

---

Entry 7:
VASP calculation (PBE) on a relaxed structure of LaSmPd.

The space group is P3m1 (No. 156) and the conventional cell measures 4.0655, 4.0655 and 6.6517 Å, with angles of 90.00, 90.00 and 120.00 degrees. The distinct sites, in fractional coordinates, are La at (0.0000, 0.0000, 0.0000), Sm at (0.3333, 0.6667, 0.5204) and Pd at (0.6667, 0.3333, 0.2654).

The value obtained for the total magnetization is 0.0 μB/cell. As for the calculated total energy: -16.06 eV/f.u. The energy above the lowest structure with this stoichiometry comes out at 0.148 eV per atom. The formation energy is -0.41 eV per atom.

---

Entry 8:
VASP calculation (PBE) on a relaxed structure of FeMo2Se.

The space group is Pm (No. 6) and the conventional cell measures 2.947, 4.216 and 4.935 Å, with angles of 90.00, 104.78 and 90.00 degrees. The distinct sites, in fractional coordinates, are Fe at (0.000, 0.000, 0.000), Mo at (0.379, 0.000, 0.505), Mo at (0.619, 0.500, 0.232) and Se at (0.925, 0.500, 0.768).

The value obtained for the total magnetization is 1.5 μB/cell. As for the calculated total energy: -32.67 eV/f.u. The energy relative to the elements, uncorrected is 0.236 eV per atom.